Entry 1:
A relaxed structure of SmDyPt2. Source: Alexandria, functional PBE.

```
SmDyPt2
1.0
4.059 0.000 0.000
2.029 3.515 0.000
2.029 1.172 6.959
Sm Pt Dy
1 2 1
direct
0.497 0.497 0.508
0.251 0.251 0.246
0.082 0.082 0.754
0.669 0.669 0.992
```

Summary:
energy = -6.407 eV/atom
formation enthalpy at 0 K = -1.06 eV per atom
space group = R3m


Entry 2:
A relaxed structure of Ac11Tl9Au4. Source: Alexandria, functional PBE.

```
Ac11Tl9Au4
1.0
-0.959 -3.857 1.071
8.867 -5.049 -10.242
6.617 1.885 12.716
Ac Tl Au
11 9 4
direct
0.000 0.164 0.836
0.000 0.000 0.000
0.000 0.303 0.303
0.000 0.073 0.414
0.000 0.414 0.073
0.000 0.369 0.631
0.000 0.697 0.697
0.000 0.927 0.586
0.000 0.586 0.927
0.000 0.836 0.164
0.000 0.631 0.369
0.500 0.154 0.633
0.500 0.633 0.154
0.500 0.846 0.367
0.500 0.931 0.786
0.500 0.069 0.214
0.500 0.367 0.846
0.500 0.214 0.069
0.500 0.500 0.500
0.500 0.786 0.931
0.500 0.450 0.251
0.500 0.749 0.550
0.500 0.251 0.450
0.500 0.550 0.749
```

Summary:
energy = -3.831 eV/atom
formation enthalpy at 0 K = -0.51 eV per atom
space group = Cmmm


Entry 3:
A relaxed structure of Hg2IrRh. Source: Alexandria, functional PBE.

```
Hg2IrRh
1.0
1.423 -2.535 0.000
1.423 2.535 0.000
0.000 0.000 10.087
Rh Ir Hg
1 1 2
direct
0.500 0.500 0.266
0.000 0.000 0.482
0.000 0.000 0.021
0.500 0.500 0.731
```

Summary:
energy = -3.780 eV/atom
formation enthalpy at 0 K = 0.42 eV per atom
space group = Cmm2


Entry 4:
A relaxed structure of CsTl2Hg. Source: Alexandria, functional PBE.

```
CsTl2Hg
1.0
-4.107 2.525 2.089
-2.692 -2.180 3.951
2.048 3.262 6.690
Cs Tl Hg
1 2 1
direct
0.497 0.497 0.510
0.040 0.040 0.881
0.289 0.289 0.134
0.675 0.675 0.975
```

Summary:
energy = -1.577 eV/atom
formation enthalpy at 0 K = -0.10 eV per atom
space group = R3m


Entry 5:
A relaxed structure of In2NiCl. Source: Alexandria, functional PBE.

```
In2NiCl
1.0
-3.710 -0.445 -0.267
-1.921 -2.804 1.574
-3.808 2.560 6.979
In Cl Ni
2 1 1
direct
0.967 0.967 0.950
0.533 0.533 0.550
0.250 0.250 0.250
0.750 0.750 0.750
```

Summary:
energy = -3.524 eV/atom
raw formation energy = -0.248 eV per atom
space group = C2/m


Entry 6:
A relaxed structure of CeB2AsO8. Source: Alexandria, functional PBE.

```
CeB2AsO8
1.0
4.815 0.000 0.000
-2.408 4.170 0.000
0.000 0.000 6.445
B O As Ce
2 8 1 1
direct
0.667 0.333 0.249
0.333 0.667 0.751
0.165 0.835 0.813
0.330 0.165 0.187
0.835 0.165 0.187
0.835 0.670 0.187
0.670 0.835 0.813
0.333 0.667 0.525
0.667 0.333 0.475
0.165 0.330 0.813
0.000 0.000 0.000
0.000 0.000 0.500
```

Summary:
energy = -7.241 eV/atom
raw formation energy = -1.941 eV per atom
space group = P-3m1


Entry 7:
A relaxed structure of K2LaTc3O12. Source: Alexandria, functional PBE.

```
K2LaTc3O12
1.0
-3.771 5.742 -0.309
-4.691 -0.004 -5.028
-6.465 -0.779 2.209
O Tc La K
12 3 1 2
direct
0.905 0.269 0.269
0.133 0.133 0.570
0.731 0.731 0.095
0.570 0.133 0.133
0.269 0.269 0.905
0.430 0.867 0.867
0.095 0.731 0.731
0.867 0.867 0.430
0.867 0.430 0.867
0.269 0.905 0.269
0.731 0.095 0.731
0.133 0.570 0.133
0.000 0.500 0.000
0.000 0.000 0.500
0.500 0.000 0.000
0.000 0.000 0.000
0.606 0.606 0.606
0.394 0.394 0.394
```

Summary:
energy = -7.115 eV/atom
raw formation energy = -1.687 eV per atom
space group = R-3m


Entry 8:
A relaxed structure of Ca2YPC. Source: Alexandria, functional PBE.

```
Ca2YPC
1.0
4.825 0.000 0.000
0.000 4.828 0.000
0.000 0.000 4.825
P C Y Ca
1 1 1 2
direct
0.500 0.500 0.500
0.000 0.000 0.000
0.000 0.500 0.000
0.500 0.000 0.000
0.000 0.000 0.500
```

Summary:
energy = -5.432 eV/atom
formation enthalpy at 0 K = -0.41 eV per atom
space group = P4/mmm